The following is a DFT calculation (GGA+U) of a relaxed structure of Sr2WO5.

Results
* relative energy among the computed polymorphs: 0.0000 eV per atom

a b c (Å): 5.6025 7.3877 11.1350
angles (deg): 90.00 90.00 90.00
Closest atoms and distances in Å follow each position.
Atoms (fractional coordinates):
O  0.2500  0.4531  0.2931  1 W 1.90
O  0.2500  0.2269  0.6065  1 W 1.99
O  0.5000  0.0000  0.0000  2 W 2.06
O  0.7500  0.0469  0.7931  1 W 1.90
O  0.5021  0.3397  0.8929  1 W 1.88
O  0.2500  0.9531  0.2069  1 W 1.90
O  0.5021  0.8397  0.6071  1 W 1.88
O  0.0021  0.6603  0.1071  1 W 1.88
O  0.7500  0.5469  0.7069  1 W 1.90
O  0.0021  0.1603  0.3929  1 W 1.88
O  0.4979  0.1603  0.3929  1 W 1.88
O  0.5000  0.5000  0.5000  2 W 2.06
O  0.2500  0.7269  0.8935  1 W 1.99
O  0.9979  0.8397  0.6071  1 W 1.88
O  0.0000  0.0000  0.0000  2 W 2.06
O  0.9979  0.3397  0.8929  1 W 1.88
O  0.7500  0.2731  0.1065  1 W 1.99
O  0.0000  0.5000  0.5000  2 W 2.06
O  0.7500  0.7731  0.3935  1 W 1.99
O  0.4979  0.6603  0.1071  1 W 1.88
Sr  0.7500  0.1679  0.5828  3 O 2.51-2.54
Sr  0.2500  0.3321  0.0828  3 O 2.51-2.54
Sr  0.2500  0.0107  0.7764  4 O 2.47-2.67
Sr  0.2500  0.8321  0.4172  3 O 2.51-2.54
Sr  0.7500  0.4893  0.2764  4 O 2.47-2.67
Sr  0.7500  0.6679  0.9172  3 O 2.51-2.54
Sr  0.7500  0.9893  0.2236  4 O 2.47-2.67
Sr  0.2500  0.5107  0.7236  4 O 2.47-2.67
W  0.7500  0.1826  0.9377  6 O 1.88-2.06
W  0.2500  0.3174  0.4377  6 O 1.88-2.06
W  0.7500  0.6826  0.5623  6 O 1.88-2.06
W  0.2500  0.8174  0.0623  6 O 1.88-2.06